No. 1
Material: KNiAs2O6
Method: DFT, PBE with a Hubbard U
State: optimized geometry

Geometry as CIF:
```
data_KNiAs2O6
_chemical_formula_sum 'K2 Ni2 As4 O12'
_symmetry_space_group_name_H-M 'P 1'
_symmetry_Int_Tables_number 1
_cell_length_a 6.454
_cell_length_b 7.552
_cell_length_c 7.552
_cell_angle_alpha 84.80
_cell_angle_beta 70.76
_cell_angle_gamma 70.76
loop_
_symmetry_equiv_pos_as_xyz
'x,y,z'
loop_
_atom_site_label
_atom_site_type_symbol
_atom_site_fract_x
_atom_site_fract_y
_atom_site_fract_z
O1 O 0.177 0.640 0.685
O2 O 0.577 0.165 0.604
O3 O 0.790 0.016 0.231
O4 O 0.423 0.835 0.396
O5 O 0.823 0.360 0.315
O6 O 0.323 0.315 0.360
O7 O 0.710 0.769 0.984
O8 O 0.290 0.231 0.016
O9 O 0.077 0.604 0.165
O10 O 0.923 0.396 0.835
O11 O 0.677 0.685 0.640
O12 O 0.210 0.984 0.769
Ni1 Ni 0.750 0.761 0.239
Ni2 Ni 0.250 0.239 0.761
As1 As 0.868 0.631 0.785
As2 As 0.132 0.369 0.215
As3 As 0.632 0.215 0.369
As4 As 0.368 0.785 0.631
K1 K 0.250 0.877 0.123
K2 K 0.750 0.123 0.877
```

Values from the calculation:
ρ	3.5	g/cm3

---

No. 2
Material: K3Nd3WO8
Method: DFT, PBE with a Hubbard U
State: optimized geometry

Geometry as CIF:
```
data_K3Nd3WO8
_chemical_formula_sum 'K3 Nd3 W1 O8'
_symmetry_space_group_name_H-M 'P 1'
_symmetry_Int_Tables_number 1
_cell_length_a 7.115
_cell_length_b 7.081
_cell_length_c 7.524
_cell_angle_alpha 118.07
_cell_angle_beta 90.00
_cell_angle_gamma 120.16
loop_
_symmetry_equiv_pos_as_xyz
'x,y,z'
loop_
_atom_site_label
_atom_site_type_symbol
_atom_site_fract_x
_atom_site_fract_y
_atom_site_fract_z
Nd1 Nd 0.500 0.000 0.500
Nd2 Nd 0.500 0.500 0.500
Nd3 Nd 0.000 0.500 0.500
K1 K 0.500 0.500 0.000
K2 K 0.000 0.000 0.000
K3 K 0.000 0.500 0.000
O1 O 0.244 0.034 0.325
O2 O 0.756 0.966 0.675
O3 O 0.206 0.412 0.674
O4 O 0.731 0.462 0.690
O5 O 0.269 0.538 0.310
O6 O 0.794 0.588 0.326
O7 O 0.210 0.966 0.675
O8 O 0.790 0.034 0.325
W1 W 0.000 0.000 0.500
```

Values from the calculation:
ρ	5.2	g/cm3

---

no.,VASP energy (eV per atom)
1,-5.4816
2,-6.7854